# CaMn3O6

An optimized crystal structure of CaMn3O6 (PBE+U, Alexandria).

Calculated values
Total DFT energy (no corrections): -0.2672 Ha/atom
V: 11.4 Å³ per atom
Offset from the most stable computed form: 0 meV per atom
Theoretical density: 4.384 Mg/m³
Spin magnetization: 88.00 Bohr magnetons per cell
SG: No. 14

abc: 11.3907 8.7232 10.8879
angles: 57.43 90.00 90.00
Last column: nearest neighbours and their distance in Å.
Fractional positions:
1 O 0.1524 0.0526 0.7926  3 Mn 1.97-2.01
2 O 0.3033 0.4012 0.0247  2 Mn 1.93
3 O 0.4114 0.8693 0.5764  2 Mn 1.99-2.00
4 O 0.0236 0.6617 0.3814  3 Mn 2.01-2.03
5 O 0.4787 0.3270 0.8894  3 Mn 1.97-2.04
6 O 0.2998 0.7294 0.0314  2 Mn 1.93-1.97
7 O 0.8344 0.2896 0.1923  3 Mn 1.97-2.14
8 O 0.9114 0.1307 0.9236  2 Mn 1.99-2.00
9 O 0.0787 0.5401 0.0728  2 Mn 1.93-1.94
10 O 0.7998 0.2706 0.4686  2 Mn 1.93-1.97
11 O 0.0819 0.1982 0.0666  3 Mn 1.94-2.15
12 O 0.5236 0.3383 0.1186  3 Mn 2.01-2.03
13 O 0.4213 0.5401 0.5728  2 Mn 1.93-1.94
14 O 0.0886 0.8693 0.0764  2 Mn 1.99-2.00
15 O 0.5109 0.0018 0.1278  2 Mn 1.91-1.94
16 O 0.1967 0.4012 0.5247  2 Mn 1.93
17 O 0.2953 0.0640 0.0403  2 Mn 1.90-1.98
18 O 0.6656 0.2896 0.6923  3 Mn 1.97-2.14
19 O 0.7047 0.9360 0.9597  2 Mn 1.90-1.98
20 O 0.8033 0.5988 0.4753  2 Mn 1.93
21 O 0.4181 0.1982 0.5666  3 Mn 1.94-2.15
22 O 0.5213 0.6730 0.1106  3 Mn 1.97-2.04
23 O 0.6500 0.6043 0.7093  3 Mn 1.99-2.04
24 O 0.1656 0.7104 0.8077  3 Mn 1.97-2.14
25 O 0.8476 0.9474 0.2074  3 Mn 1.97-2.01
26 O 0.9213 0.4599 0.9272  2 Mn 1.93-1.94
27 O 0.9787 0.6730 0.6106  3 Mn 1.97-2.04
28 O 0.0109 0.9982 0.3722  2 Mn 1.91-1.94
29 O 0.9181 0.8018 0.9334  3 Mn 1.94-2.15
30 O 0.8500 0.6043 0.2093  3 Mn 1.99-2.04
31 O 0.6524 0.9474 0.7074  3 Mn 1.97-2.01
32 O 0.4764 0.6617 0.8814  3 Mn 2.01-2.03
33 O 0.9891 0.0018 0.6278  2 Mn 1.91-1.94
34 O 0.6967 0.5988 0.9753  2 Mn 1.93
35 O 0.5819 0.8018 0.4334  3 Mn 1.94-2.15
36 O 0.3500 0.3957 0.2907  3 Mn 1.99-2.04
37 O 0.9764 0.3383 0.6186  3 Mn 2.01-2.03
38 O 0.5886 0.1307 0.4236  2 Mn 1.99-2.00
39 O 0.2002 0.7294 0.5314  2 Mn 1.93-1.97
40 O 0.5787 0.4599 0.4272  2 Mn 1.93-1.94
41 O 0.2047 0.0640 0.5403  2 Mn 1.90-1.98
42 O 0.1500 0.3957 0.7907  3 Mn 1.99-2.04
43 O 0.7953 0.9360 0.4597  2 Mn 1.90-1.98
44 O 0.3344 0.7104 0.3077  3 Mn 1.97-2.14
45 O 0.4891 0.9982 0.8722  2 Mn 1.91-1.94
46 O 0.3476 0.0526 0.2926  3 Mn 1.97-2.01
47 O 0.7002 0.2706 0.9686  2 Mn 1.93-1.97
48 O 0.0213 0.3270 0.3894  3 Mn 1.97-2.04
49 Mn 0.9041 0.4701 0.4183  6 O 1.93-2.02
50 Mn 0.5977 0.1399 0.9095  5 O 1.94-2.14
51 Mn 0.4034 0.1932 0.0848  6 O 1.90-2.03
52 Mn 0.4023 0.8601 0.0905  5 O 1.94-2.14
53 Mn 0.5966 0.8068 0.9152  6 O 1.90-2.03
54 Mn 0.8930 0.2052 0.0669  5 O 1.93-2.15
55 Mn 0.8815 0.8688 0.0722  4 O 1.94-1.99
56 Mn 0.1176 0.4562 0.9445  4 O 1.94-2.04
57 Mn 0.6176 0.5438 0.5555  4 O 1.94-2.04
58 Mn 0.6185 0.8688 0.5722  4 O 1.94-1.99
59 Mn 0.6070 0.2052 0.5669  5 O 1.93-2.15
60 Mn 0.9034 0.8068 0.4152  6 O 1.90-2.03
61 Mn 0.1185 0.1312 0.9278  4 O 1.94-1.99
62 Mn 0.0959 0.5299 0.5817  6 O 1.93-2.02
63 Mn 0.4041 0.5299 0.0817  6 O 1.93-2.02
64 Mn 0.8824 0.5438 0.0555  4 O 1.94-2.04
65 Mn 0.3824 0.4562 0.4445  4 O 1.94-2.04
66 Mn 0.0977 0.8601 0.5905  5 O 1.94-2.14
67 Mn 0.3815 0.1312 0.4278  4 O 1.94-1.99
68 Mn 0.9023 0.1399 0.4095  5 O 1.94-2.14
69 Mn 0.1070 0.7948 0.9331  5 O 1.93-2.15
70 Mn 0.5959 0.4701 0.9183  6 O 1.93-2.02
71 Mn 0.3930 0.7948 0.4331  5 O 1.93-2.15
72 Mn 0.0966 0.1932 0.5848  6 O 1.90-2.03
73 Ca 0.3363 0.9423 0.7564  5 O 2.27-2.51
74 Ca 0.1648 0.5535 0.2546  5 O 2.27-2.52
75 Ca 0.3352 0.5535 0.7546  5 O 2.27-2.52
76 Ca 0.6648 0.4465 0.2454  5 O 2.27-2.52
77 Ca 0.8363 0.0577 0.7436  5 O 2.27-2.51
78 Ca 0.8352 0.4465 0.7454  5 O 2.27-2.52
79 Ca 0.6637 0.0577 0.2436  5 O 2.27-2.51
80 Ca 0.1637 0.9423 0.2564  5 O 2.27-2.51